1.
Material: Sb2TeCO
Method: DFT, meta-GGA SCAN
State: single point on PBEsol structure

Cell: 4.6289 4.6289 4.7107 Å, 90.00 90.00 90.00°
Closest atoms and distances in Å follow each position.
Fractional coordinates of all 5 atoms:
Sb 0.5000 0.0000 0.0000  2 O 2.31
Sb 0.0000 0.5000 0.0000  2 O 2.31
C 0.5000 0.5000 0.5000  4 Te 3.27, 8 Sb 3.30
O 0.0000 0.0000 0.0000  4 Sb 2.31, 2 Te 2.36
Te 0.0000 0.0000 0.5000  2 O 2.36

Calculated values
Formation energy (no corrections)   7.21 eV per formula unit
Energy   -24.179 eV per atom
Magnetization   0.00 μB per cell
Space group   No. 123

***

2.
Material: ScC2O2
Method: DFT, meta-GGA SCAN
State: single point on PBEsol structure

Cell: 2.5906 2.5906 6.9179 Å, 100.79 100.79 90.00°
Closest atoms and distances in Å follow each position.
Fractional coordinates of all 5 atoms:
Sc 0.0000 0.0000 0.0000  8 O 2.14
O 0.5825 0.5825 0.1651  4 Sc 2.14, 1 O 2.20
C 0.7500 0.2500 0.5000  4 C 1.83
O 0.4175 0.4175 0.8349  4 Sc 2.14, 1 O 2.20
C 0.2500 0.7500 0.5000  4 C 1.83

Calculated values
Formation energy (no corrections)   0.54 eV per formula unit
Energy   -9.273 eV per atom
Magnetization   0.00 μB per cell
Space group   No. 139

***

3.
Material: Si17CO34
Method: DFT, meta-GGA SCAN
State: single point on PBEsol structure

Cell: 14.1051 14.1051 14.1051 Å, 60.00 60.00 60.00°
Closest atoms and distances in Å follow each position.
Fractional coordinates of all 104 atoms:
Si 0.7542 0.1308 0.7542  4 O 1.61-1.62
Si 0.2769 0.9077 0.9077  4 O 1.60-1.61
Si 0.7542 0.7542 0.3608  4 O 1.61-1.62
O 0.8104 0.4396 0.1250  2 Si 1.61
Si 0.8892 0.4958 0.4958  4 O 1.61-1.62
O 0.3207 0.8307 0.0179  2 Si 1.61
O 0.4396 0.8104 0.6250  2 Si 1.61
O 0.1250 0.4396 0.8104  2 Si 1.61
Si 0.4958 0.4958 0.1192  4 O 1.61-1.62
Si 0.4958 0.8892 0.4958  4 O 1.61-1.62
O 0.0012 0.4988 0.4988  2 Si 1.62
O 0.4988 0.4988 0.0012  2 Si 1.62
Si 0.9077 0.9077 0.9077  4 O 1.60-1.61
O 0.9539 0.9539 0.1384  2 Si 1.59-1.60
O 0.0012 0.0012 0.4988  2 Si 1.62
O 0.6250 0.4396 0.1250  2 Si 1.61
Si 0.3608 0.7542 0.7542  4 O 1.61-1.62
Si 0.3423 0.9731 0.3423  4 O 1.60-1.61
O 0.4193 0.9293 0.4193  2 Si 1.61
Si 0.1308 0.7542 0.3608  4 O 1.61-1.62
O 0.9293 0.2321 0.4193  2 Si 1.61
Si 0.8892 0.1192 0.4958  4 O 1.61-1.62
O 0.4396 0.1250 0.6250  2 Si 1.61
O 0.9539 0.1384 0.9539  2 Si 1.59-1.60
O 0.4193 0.2321 0.4193  2 Si 1.61
O 0.4988 0.0012 0.4988  2 Si 1.62
O 0.9293 0.4193 0.4193  2 Si 1.61
Si 0.3608 0.7542 0.1308  4 O 1.61-1.62
O 0.8307 0.3207 0.0179  2 Si 1.61
O 0.4396 0.6250 0.1250  2 Si 1.61
O 0.8307 0.8307 0.0179  2 Si 1.61
Si 0.0000 0.0000 0.0000  4 O 1.59
O 0.4988 0.0012 0.0012  2 Si 1.62
O 0.8307 0.0179 0.8307  2 Si 1.61
O 0.2321 0.9293 0.4193  2 Si 1.61
Si 0.3423 0.3423 0.9731  4 O 1.60-1.61
O 0.1250 0.8104 0.6250  2 Si 1.61
O 0.1116 0.2961 0.2961  2 Si 1.59-1.60
O 0.4396 0.8104 0.1250  2 Si 1.61
Si 0.4958 0.8892 0.1192  4 O 1.61-1.62
O 0.8307 0.0179 0.3207  2 Si 1.61
O 0.4396 0.1250 0.8104  2 Si 1.61
O 0.9539 0.9539 0.9539  2 Si 1.59-1.60
Si 0.1192 0.8892 0.4958  4 O 1.61-1.62
O 0.1250 0.4396 0.6250  2 Si 1.61
Si 0.4958 0.1192 0.8892  4 O 1.61-1.62
Si 0.3423 0.3423 0.3423  4 O 1.60-1.61
O 0.1250 0.6250 0.8104  2 Si 1.61
O 0.6250 0.8104 0.4396  2 Si 1.61
C 0.7500 0.7500 0.7500  42 O 5.01-5.17, 28 Si 5.32-5.45
O 0.7512 0.7512 0.2488  2 Si 1.62
O 0.2321 0.4193 0.4193  2 Si 1.61
O 0.4193 0.4193 0.2321  2 Si 1.61
O 0.3207 0.8307 0.8307  2 Si 1.61
O 0.8104 0.4396 0.6250  2 Si 1.61
O 0.0179 0.3207 0.8307  2 Si 1.61
Si 0.4958 0.1192 0.4958  4 O 1.61-1.62
O 0.6250 0.8104 0.1250  2 Si 1.61
Si 0.8892 0.4958 0.1192  4 O 1.61-1.62
O 0.1250 0.6250 0.4396  2 Si 1.61
O 0.2961 0.1116 0.2961  2 Si 1.59-1.60
Si 0.4958 0.4958 0.8892  4 O 1.61-1.62
Si 0.1192 0.4958 0.8892  4 O 1.61-1.62
O 0.0012 0.4988 0.0012  2 Si 1.62
O 0.1384 0.9539 0.9539  2 Si 1.59-1.60
Si 0.2500 0.2500 0.2500  4 O 1.59
Si 0.1308 0.3608 0.7542  4 O 1.61-1.62
O 0.0179 0.8307 0.8307  2 Si 1.61
O 0.8104 0.6250 0.1250  2 Si 1.61
O 0.0179 0.8307 0.3207  2 Si 1.61
Si 0.7542 0.3608 0.1308  4 O 1.61-1.62
O 0.8104 0.1250 0.4396  2 Si 1.61
Si 0.1308 0.7542 0.7542  4 O 1.61-1.62
O 0.8307 0.8307 0.3207  2 Si 1.61
Si 0.9077 0.2769 0.9077  4 O 1.60-1.61
O 0.8307 0.3207 0.8307  2 Si 1.61
O 0.6250 0.4396 0.8104  2 Si 1.61
Si 0.7542 0.7542 0.1308  4 O 1.61-1.62
O 0.1250 0.8104 0.4396  2 Si 1.61
O 0.2961 0.2961 0.2961  2 Si 1.59-1.60
O 0.4193 0.4193 0.9293  2 Si 1.61
O 0.2488 0.7512 0.7512  2 Si 1.62
O 0.9293 0.4193 0.2321  2 Si 1.61
C 0.5000 0.5000 0.5000  42 O 5.01-5.17, 28 Si 5.32-5.45
O 0.2488 0.2488 0.7512  2 Si 1.62
Si 0.9731 0.3423 0.3423  4 O 1.60-1.61
O 0.2961 0.2961 0.1116  2 Si 1.59-1.60
O 0.7512 0.2488 0.7512  2 Si 1.62
Si 0.9077 0.9077 0.2769  4 O 1.60-1.61
O 0.4396 0.6250 0.8104  2 Si 1.61
O 0.6250 0.1250 0.8104  2 Si 1.61
O 0.4193 0.2321 0.9293  2 Si 1.61
Si 0.7542 0.1308 0.3608  4 O 1.61-1.62
Si 0.7542 0.3608 0.7542  4 O 1.61-1.62
O 0.6250 0.1250 0.4396  2 Si 1.61
O 0.3207 0.0179 0.8307  2 Si 1.61
O 0.4193 0.9293 0.2321  2 Si 1.61
O 0.8104 0.1250 0.6250  2 Si 1.61
O 0.2488 0.7512 0.2488  2 Si 1.62
O 0.2321 0.4193 0.9293  2 Si 1.61
Si 0.1192 0.4958 0.4958  4 O 1.61-1.62
O 0.8104 0.6250 0.4396  2 Si 1.61
Si 0.3608 0.1308 0.7542  4 O 1.61-1.62
O 0.7512 0.2488 0.2488  2 Si 1.62

Calculated values
Formation energy (no corrections)   -146.00 eV per formula unit
Energy   -10.351 eV per atom
Magnetization   4.00 μB per cell
Space group   No. 227

***

4.
Material: Y2SiCO7
Method: DFT, meta-GGA SCAN
State: single point on PBEsol structure

Cell: 6.4465 6.5641 6.6165 Å, 95.65 116.30 92.71°
Closest atoms and distances in Å follow each position.
Fractional coordinates of all 22 atoms:
O 0.8886 0.9680 0.6594  1 Si 1.64
C 0.8054 0.5888 0.2672  3 O 1.28-1.30
O 0.1114 0.0320 0.3406  1 Si 1.64
O 0.9753 0.3530 0.6206  1 C 1.29
C 0.1946 0.4112 0.7328  3 O 1.28-1.30
O 0.2656 0.5992 0.8348  1 C 1.30
Y 0.2517 0.9146 0.7009  8 O 2.28-2.45
O 0.6674 0.0169 0.9132  1 Si 1.67
O 0.3326 0.9831 0.0868  1 Si 1.67
O 0.5230 0.2479 0.4400  1 Si 1.64
O 0.6553 0.7162 0.2512  1 C 1.28
Si 0.2634 0.1584 0.2413  4 O 1.62-1.67
Y 0.2550 0.6699 0.1875  7 O 2.23-2.42
Y 0.7450 0.3301 0.8125  7 O 2.23-2.42
Si 0.7366 0.8416 0.7587  4 O 1.62-1.67
Y 0.7483 0.0854 0.2991  8 O 2.28-2.45
O 0.1276 0.3344 0.0916  1 Si 1.62
O 0.8724 0.6656 0.9084  1 Si 1.62
O 0.4770 0.7521 0.5600  1 Si 1.64
O 0.3447 0.2838 0.7488  1 C 1.28
O 0.0247 0.6470 0.3794  1 C 1.29
O 0.7344 0.4008 0.1652  1 C 1.30

Calculated values
Formation energy (no corrections)   -34.73 eV per formula unit
Energy   -14.014 eV per atom
Magnetization   0.00 μB per cell
Space group   No. 2

***

5.
Material: Sn2CO
Method: DFT, meta-GGA SCAN
State: single point on PBEsol structure

Cell: 4.2873 4.2873 4.2873 Å, 60.00 60.00 60.00°
Closest atoms and distances in Å follow each position.
Fractional coordinates of all 4 atoms:
Sn 0.2500 0.2500 0.2500  4 O 2.63, 4 C 2.63
Sn 0.7500 0.7500 0.7500  4 O 2.63, 4 C 2.63
O 0.5000 0.5000 0.5000  8 Sn 2.63
C 0.0000 0.0000 0.0000  8 Sn 2.63

Calculated values
Formation energy (no corrections)   3.53 eV per formula unit
Energy   -21.161 eV per atom
Magnetization   0.00 μB per cell
Space group   No. 225

***

6.
Material: SrCO2
Method: DFT, meta-GGA SCAN
State: single point on PBEsol structure

Cell: 4.6271 4.6271 6.0581 Å, 112.45 112.45 90.00°
Closest atoms and distances in Å follow each position.
Fractional coordinates of all 8 atoms:
C 0.5000 0.5000 0.0000  4 O 1.83
O 0.4907 0.8750 0.2500  2 C 1.83
O 0.6250 0.5093 0.7500  2 C 1.83
Sr 0.2500 0.7500 0.5000  4 O 2.41
Sr 0.0000 0.0000 0.0000  4 O 2.41
O 0.1250 0.2407 0.7500  2 C 1.83
C 0.7500 0.2500 0.5000  4 O 1.83
O 0.7593 0.3750 0.2500  2 C 1.83

Calculated values
Formation energy (no corrections)   -1.00 eV per formula unit
Energy   -11.460 eV per atom
Magnetization   0.00 μB per cell
Space group   No. 122